The following is a DFT calculation (GGA-PBE) of a relaxed SrNdCuAg crystal.

- theoretical density (g/cm3) = 6.354
- volume (Å³/cell) = 421.6
- Fermi-level density of states (states/eV/atom) = 0.750
- total magnetic moment (μB per formula unit) = 0.0
- calculated formation energy (eV per atom) = -0.119

a = 7.498 Å, b = 7.498 Å, c = 7.498 Å
α = 90.00°, β = 90.00°, γ = 90.00°
Element x y z (fractional)
Sr (0.000, 0.000, 0.000)
Sr (0.000, 0.500, 0.500)
Sr (0.500, 0.000, 0.500)
Sr (0.500, 0.500, 0.000)
Nd (0.000, 0.000, 0.500)
Nd (0.000, 0.500, 0.000)
Nd (0.500, 0.000, 0.000)
Nd (0.500, 0.500, 0.500)
Cu (0.250, 0.250, 0.750)
Cu (0.250, 0.750, 0.250)
Cu (0.750, 0.250, 0.250)
Cu (0.750, 0.750, 0.750)
Ag (0.250, 0.250, 0.250)
Ag (0.250, 0.750, 0.750)
Ag (0.750, 0.250, 0.750)
Ag (0.750, 0.750, 0.250)

***

The following is a DFT calculation (GGA-PBE) of a relaxed ReAg crystal.

- theoretical density (g/cm3) = 15.287
- excess energy over the best structure of this formula in the dataset (meV/atom) = 381
- volume (Å³/cell) = 95.8
- Fermi-level density of states (states/eV/atom) = 0.706
- total magnetic moment (μB per formula unit) = 0.0
- calculated formation energy (eV per atom) = 0.628

a = 2.751 Å, b = 2.751 Å, c = 14.627 Å
α = 90.00°, β = 90.00°, γ = 120.00°
Element x y z (fractional)
Re (0.000, 0.000, 0.000)
Re (0.333, 0.667, 0.667)
Re (0.667, 0.333, 0.333)
Ag (0.000, 0.000, 0.500)
Ag (0.333, 0.667, 0.167)
Ag (0.667, 0.333, 0.833)

***

The following is a DFT calculation (GGA-PBE) of a relaxed MgTc2W crystal.

- theoretical density (g/cm3) = 10.847
- volume (Å³/cell) = 123.7
- Fermi-level density of states (states/eV/atom) = 0.769
- total magnetic moment (μB per formula unit) = 0.0
- calculated formation energy (eV per atom) = 0.234

a = 5.668 Å, b = 8.715 Å, c = 2.695 Å
α = 90.00°, β = 111.63°, γ = 90.00°
Element x y z (fractional)
Mg (0.000, 0.000, 0.000)
Mg (0.500, 0.500, 0.000)
Tc (0.250, 0.250, 0.500)
Tc (0.250, 0.750, 0.500)
Tc (0.750, 0.250, 0.500)
Tc (0.750, 0.750, 0.500)
W (0.000, 0.500, 0.000)
W (0.500, 0.000, 0.000)

***

The following is a DFT calculation (GGA-PBE) of a relaxed RbTl2Cu2F7 crystal.

- theoretical density (g/cm3) = 6.496
- volume (Å³/cell) = 192.8
- uncorrected formation energy (eV/atom) = -1.850
- Fermi-level density of states (states/eV/atom) = 0.205
- total magnetic moment (μB per formula unit) = 2.0

a = 4.170 Å, b = 4.170 Å, c = 11.467 Å
α = 100.39°, β = 100.39°, γ = 90.00°
Element x y z (fractional)
Rb (0.000, 0.000, 0.000)
Tl (0.183, 0.183, 0.369)
Tl (0.817, 0.817, 0.631)
Cu (0.409, 0.409, 0.815)
Cu (0.591, 0.591, 0.185)
F (0.092, 0.592, 0.186)
F (0.320, 0.320, 0.636)
F (0.408, 0.908, 0.814)
F (0.500, 0.500, 0.000)
F (0.592, 0.092, 0.186)
F (0.680, 0.680, 0.364)
F (0.908, 0.408, 0.814)